Record 1
5
Lattice="-2.494 -2.606 2.187 0.162 -2.800 -3.152 5.562 -6.225 2.993" Properties=species:S:1:pos:R:3 comment="In2PPb2 | Alexandria via LeMat-Bulk | PBE-GGA | optimized geometry" e_above_lowest_polymorph_mev_per_atom=266.8 ef_ev_per_atom=0.464 sg=I4/mmm e_tot_ev_per_atom=-3.20 pbc="T T T"
Pb 0.951 -5.767 2.349
Pb 2.279 -5.864 -0.320
P 0.000 0.000 0.000
In -0.018 -3.304 0.111
In 3.248 -8.327 1.918



Record 2
6
Lattice="5.520 0.000 0.000 2.697 8.846 -0.001 0.000 -0.022 3.814" Properties=species:S:1:pos:R:3 comment="KPtBr | Alexandria via LeMat-Bulk | PBE-GGA | optimized geometry" e_above_lowest_polymorph_mev_per_atom=22.3 sg=P1 e_tot_ev_per_atom=-3.59 e_form_raw_ev_per_atom=-0.6489 pbc="T T T"
K 4.940 8.002 0.660
K 4.927 4.044 0.637
Pt 2.175 6.077 0.651
Pt 7.700 7.811 2.567
Br 2.167 4.235 2.547
Br 5.005 0.789 0.671



Record 3
12
Lattice="6.284 0.000 1.382 2.990 5.527 1.382 0.776 0.462 11.450" Properties=species:S:1:pos:R:3 comment="Tb7Dy3Sc2 | Alexandria via LeMat-Bulk | PBE-GGA | optimized geometry" e_above_lowest_polymorph_mev_per_atom=197.5 ef_ev_per_atom=0.301 sg=R-3m e_tot_ev_per_atom=-4.61 pbc="T T T"
Tb 5.025 2.995 7.107
Tb 2.829 3.574 9.540
Tb 5.997 3.574 10.236
Tb 4.490 0.788 9.540
Tb 7.220 2.415 4.673
Tb 5.560 5.201 4.673
Tb 4.052 2.415 3.977
Dy 0.000 0.000 0.000
Dy 1.834 1.093 6.639
Dy 8.216 4.896 7.574
Sc 3.868 2.305 12.367
Sc 6.181 3.684 1.846



Record 4
3
Lattice="-3.698 -2.325 1.850 0.635 -3.080 -1.420 1.747 -2.741 2.407" Properties=species:S:1:pos:R:3 comment="SiGeP | Alexandria via LeMat-Bulk | PBE-GGA | optimized geometry" e_above_lowest_polymorph_mev_per_atom=108.2 sg=P1 e_tot_ev_per_atom=-4.93 e_form_raw_ev_per_atom=0.2208 pbc="T T T"
Si -2.402 -4.398 3.052
Ge -1.853 -3.590 0.739
P 0.461 -4.203 1.224



Record 5
16
Lattice="-2.845 0.874 -0.830 2.317 -2.134 -4.441 -3.705 -9.541 2.651" Properties=species:S:1:pos:R:3 comment="HoTi2NiN4 | Alexandria via LeMat-Bulk | PBE-GGA | optimized geometry" sg=Cmcm e_tot_ev_per_atom=-8.63 e_form_raw_ev_per_atom=-1.1940 pbc="T T T"
Ho -2.578 -7.537 0.898
Ho -1.655 -3.264 -3.517
Ti -1.376 -6.492 -2.121
Ti -1.370 -0.481 -1.562
Ti -2.857 -4.309 -0.498
Ti -2.863 -10.320 -1.057
Ni -3.578 -7.900 -1.807
Ni -0.654 -2.901 -0.812
N 0.072 -1.968 -2.322
N -3.272 -6.171 -1.037
N -4.305 -8.832 -0.297
N -0.961 -4.630 -1.582
N -1.852 -4.771 1.326
N 0.000 0.000 0.000
N -1.974 -8.681 -2.376
N -2.258 -2.120 -0.243



Record 6
5
Lattice="-2.564 -4.170 -1.189 4.064 -1.828 -2.350 1.514 -2.155 4.294" Properties=species:S:1:pos:R:3 comment="BaZrRe3 | Alexandria via LeMat-Bulk | PBE-GGA | optimized geometry" e_above_lowest_polymorph_mev_per_atom=0.0 ef_ev_per_atom=2.045 sg=Pm-3m e_tot_ev_per_atom=-7.52 pbc="T T T"
Re 2.032 -0.914 -1.175
Re 0.757 -1.077 2.147
Re -1.282 -2.085 -0.594
Ba 1.507 -4.077 0.378
Zr 0.000 0.000 0.000



Record 7
6
Lattice="0.000 3.898 3.898 3.898 0.000 3.898 3.898 3.898 0.000" Properties=species:S:1:pos:R:3 comment="ZrAsAu4 | Alexandria via LeMat-Bulk | PBE-GGA | optimized geometry" ef_ev_per_atom=-0.013 sg=F-43m e_tot_ev_per_atom=-4.40 pbc="T T T"
Zr 5.847 5.847 5.847
As 0.000 0.000 0.000
Au 2.925 4.871 4.871
Au 4.871 4.871 2.925
Au 4.871 2.925 4.871
Au 2.925 2.925 2.925



Record 8
4
Lattice="3.323 0.000 0.000 0.000 3.323 0.000 0.000 0.000 8.842" Properties=species:S:1:pos:R:3 comment="EuSc2Re | Alexandria via LeMat-Bulk | PBE-GGA | optimized geometry" ef_ev_per_atom=0.030 sg=P4/mmm e_tot_ev_per_atom=-8.82 pbc="T T T"
Eu 1.661 1.661 4.421
Re 1.661 1.661 0.000
Sc 0.000 0.000 7.322
Sc 0.000 0.000 1.520



Record 9
18
Lattice="-4.279 3.833 -2.236 -5.603 -7.281 -1.757 -3.733 0.813 8.538" Properties=species:S:1:pos:R:3 comment="Sm4DyTl4 | Alexandria via LeMat-Bulk | PBE-GGA | optimized geometry" ef_ev_per_atom=-0.186 sg=P4_2/n e_tot_ev_per_atom=-3.85 pbc="T T T"
Sm -7.084 -0.991 5.534
Sm -10.922 -0.762 4.776
Sm -5.438 -2.624 -0.416
Sm -3.457 0.486 5.277
Sm -9.501 -3.191 2.042
Sm -6.974 -5.974 0.932
Sm -5.878 0.979 -1.895
Sm -5.209 1.536 1.932
Dy 0.000 0.000 0.000
Dy -6.808 -1.318 2.273
Tl -8.458 -4.013 -1.204
Tl -6.172 2.286 5.219
Tl -6.705 -4.199 3.620
Tl -8.648 1.042 3.356
Tl -8.232 -0.753 -0.516
Tl -3.162 0.043 -0.359
Tl -9.439 -3.586 5.434
Tl -3.646 -1.360 2.632



Record 10
5
Lattice="-2.483 4.018 -0.292 -3.984 -2.500 -0.528 -0.603 -0.032 4.694" Properties=species:S:1:pos:R:3 comment="SrMo3Au | Alexandria via LeMat-Bulk | PBE-GGA | optimized geometry" e_above_lowest_polymorph_mev_per_atom=1042.1 ef_ev_per_atom=2.929 sg=Pm-3m e_tot_ev_per_atom=-4.56 pbc="T T T"
Sr 0.000 0.000 0.000
Mo -1.992 -1.250 -0.264
Mo -0.301 -0.016 2.347
Mo -1.241 2.009 -0.146
Au -3.535 0.743 1.937



Record 11
4
Lattice="4.372 -0.003 -0.006 3.263 2.911 -0.006 0.278 0.106 4.640" Properties=species:S:1:pos:R:3 comment="BeReAs2 | Alexandria via LeMat-Bulk | PBE-GGA | optimized geometry" ef_ev_per_atom=0.302 sg=C2/m e_tot_ev_per_atom=-6.07 pbc="T T T"
Re 1.978 0.753 1.157
As 7.422 2.827 0.016
As 4.169 1.588 2.285
Be 5.935 2.260 3.471



Record 12
12
Lattice="-7.720 1.495 -2.539 -2.252 -2.969 5.098 4.998 6.925 2.329" Properties=species:S:1:pos:R:3 comment="K3SiP2 | Alexandria via LeMat-Bulk | PBE-GGA | optimized geometry" sg=Ibam e_tot_ev_per_atom=-3.55 e_form_raw_ev_per_atom=-0.2933 pbc="T T T"
K -2.434 1.173 3.519
K -2.540 4.278 1.370
K -6.292 3.303 3.055
K 1.318 2.149 1.833
K -5.549 -1.479 2.554
K -4.423 0.005 0.005
Si -0.563 -0.742 1.275
Si -1.689 -2.227 3.824
P -1.243 1.158 0.125
P -3.731 4.294 4.763
P 2.626 4.765 3.934
P -7.600 0.686 0.954